Entry A
This record from the Alexandria database describes an optimized crystal structure of Ga3SiS. The functional is GGA-PBE.

Cell: 4.8245 4.8245 4.8245 Å, 90.00 90.00 90.00°
Closest atoms and distances in Å follow each position.
Space group Pm-3m (No. 221)
Symmetry-distinct sites (fractional):
Ga 0.0000 0.0000 0.5000 [3 per cell]  2 Si 2.41
Si 0.0000 0.0000 0.0000 [1 per cell]  6 Ga 2.41
S 0.5000 0.5000 0.5000 [1 per cell]  12 Ga 3.41

Results
As for the size of the total moment: 0.0 Bohr magnetons per cell. As for the crystal system: cubic.

Entry B
This record from the Alexandria database describes an optimized crystal structure of Ga3SiS. The functional is GGA-PBE.

Cell: 4.7961 4.7961 4.7961 Å, 90.00 90.00 90.00°
Closest atoms and distances in Å follow each position.
Space group Pm-3m (No. 221)
Symmetry-distinct sites (fractional):
Ga 0.0000 0.0000 0.5000 [3 per cell]  2 S 2.40
Si 0.5000 0.5000 0.5000 [1 per cell]  12 Ga 3.39
S 0.0000 0.0000 0.0000 [1 per cell]  6 Ga 2.40

Results
As for the size of the total moment: 0.0 Bohr magnetons per cell. As for the crystal system: cubic.

Top of the stability list: entry A, leading by 292 meV per atom.

Entry A
This record from the Alexandria database describes an optimized crystal structure of GaSi3S. The functional is GGA-PBE.

Cell: 4.7732 4.7732 4.7732 Å, 90.00 90.00 90.00°
Closest atoms and distances in Å follow each position.
Space group Pm-3m (No. 221)
Symmetry-distinct sites (fractional):
Ga 0.0000 0.0000 0.0000 [1 per cell]  6 Si 2.39
Si 0.0000 0.0000 0.5000 [3 per cell]  2 Ga 2.39
S 0.5000 0.5000 0.5000 [1 per cell]  12 Si 3.38

Results
As for the size of the total moment: 0.0 Bohr magnetons per cell. As for the crystal system: cubic.

Entry B
This record from the Alexandria database describes an optimized crystal structure of GaSi3S. The functional is GGA-PBE.

Cell: 4.6199 4.6199 4.6199 Å, 90.00 90.00 90.00°
Closest atoms and distances in Å follow each position.
Space group Pm-3m (No. 221)
Symmetry-distinct sites (fractional):
Ga 0.0000 0.0000 0.0000 [1 per cell]  12 Si 3.27
Si 0.0000 0.5000 0.5000 [3 per cell]  2 S 2.31
S 0.5000 0.5000 0.5000 [1 per cell]  6 Si 2.31

Results
As for the size of the total moment: 0.0 Bohr magnetons per cell. As for the crystal system: cubic.

Top of the stability list: entry B, leading by 253 meV per atom.

Entry A
This record from the Alexandria database describes an optimized crystal structure of Ga2SnS. The functional is GGA-PBE.

Cell: 5.9119 5.9119 11.9268 Å, 90.00 90.00 90.00°
Closest atoms and distances in Å follow each position.
Space group I-42d (No. 122)
Symmetry-distinct sites (fractional):
Ga 0.2284 0.2500 0.1250 [8 per cell]  2 S 2.50, 2 Sn 2.64
Sn 0.0000 0.0000 0.5000 [4 per cell]  4 Ga 2.64
S 0.0000 0.0000 0.0000 [4 per cell]  4 Ga 2.50

Results
As for the size of the total moment: 0.0 Bohr magnetons per cell. As for the crystal system: tetragonal.

Entry B
This record from the Alexandria database describes an optimized crystal structure of Ga2SnS. The functional is GGA-PBE.

Cell: 3.4474 3.4474 27.2696 Å, 90.00 90.00 120.00°
Closest atoms and distances in Å follow each position.
Space group R-3m (No. 166, hexagonal axes)
Symmetry-distinct sites (fractional):
Ga 0.0000 0.0000 0.1061 [6 per cell]  3 S 2.59, 1 Sn 2.89
Sn 0.0000 0.0000 0.0000 [3 per cell]  2 Ga 2.89
S 0.0000 0.0000 0.5000 [3 per cell]  6 Ga 2.59

Results
As for the size of the total moment: 0.0 Bohr magnetons per cell. As for the crystal system: trigonal.

Entry C
This record from the Alexandria database describes an optimized crystal structure of Ga2SnS. The functional is GGA-PBE.

Cell: 6.9716 6.9716 6.9716 Å, 90.00 90.00 90.00°
Closest atoms and distances in Å follow each position.
Space group Fm-3m (No. 225)
Symmetry-distinct sites (fractional):
Ga 0.2500 0.2500 0.2500 [8 per cell]  4 S 3.02, 4 Sn 3.02
Sn 0.0000 0.0000 0.0000 [4 per cell]  8 Ga 3.02
S 0.0000 0.0000 0.5000 [4 per cell]  8 Ga 3.02

Results
As for the size of the total moment: 0.0 Bohr magnetons per cell. As for the crystal system: cubic.

Top of the stability list: entry A, leading by 131 meV per atom.

Entry A
This record from the Alexandria database describes an optimized crystal structure of Ga2Sn2S. The functional is GGA-PBE.

Cell: 7.7243 7.7243 3.8374 Å, 90.00 90.00 90.00°
Closest atoms and distances in Å follow each position.
Space group P4/mbm (No. 127)
Symmetry-distinct sites (fractional):
Ga 0.1225 0.3775 0.0000 [4 per cell]  1 Ga 2.68, 2 Sn 2.80
Sn 0.1903 0.6903 0.5000 [4 per cell]  6 Ga 2.80-3.13
S 0.0000 0.0000 0.0000 [2 per cell]  4 Ga 3.07, 8 Sn 3.40

Results
As for the size of the total moment: 0.0 Bohr magnetons per cell. As for the crystal system: tetragonal.

Entry B
This record from the Alexandria database describes an optimized crystal structure of Ga2Sn2S. The functional is GGA-PBE.

Cell: 7.7880 7.7880 3.9467 Å, 90.00 90.00 90.00°
Closest atoms and distances in Å follow each position.
Space group P4/mbm (No. 127)
Symmetry-distinct sites (fractional):
Ga 0.1183 0.3817 0.0000 [4 per cell]  1 Ga 2.61, 2 Sn 2.88
Sn 0.1919 0.6919 0.5000 [4 per cell]  2 S 2.83, 2 Ga 2.88
S 0.0000 0.0000 0.5000 [2 per cell]  4 Sn 2.83

Results
As for the size of the total moment: 0.0 Bohr magnetons per cell. As for the crystal system: tetragonal.

Top of the stability list: entry B, leading by 79 meV per atom.

Entry A
This record from the Alexandria database describes an optimized crystal structure of GaSn3S. The functional is GGA-PBE.

Cell: 5.3512 5.3512 5.3512 Å, 90.00 90.00 90.00°
Closest atoms and distances in Å follow each position.
Space group Pm-3m (No. 221)
Symmetry-distinct sites (fractional):
Ga 0.0000 0.0000 0.0000 [1 per cell]  12 Sn 3.78
Sn 0.0000 0.5000 0.5000 [3 per cell]  2 S 2.68
S 0.5000 0.5000 0.5000 [1 per cell]  6 Sn 2.68

Results
As for the size of the total moment: 0.0 Bohr magnetons per cell. As for the crystal system: cubic.

Entry B
This record from the Alexandria database describes an optimized crystal structure of GaSn3S. The functional is GGA-PBE.

Cell: 5.3115 5.3115 5.3115 Å, 90.00 90.00 90.00°
Closest atoms and distances in Å follow each position.
Space group Pm-3m (No. 221)
Symmetry-distinct sites (fractional):
Ga 0.0000 0.0000 0.0000 [1 per cell]  6 Sn 2.66
Sn 0.0000 0.0000 0.5000 [3 per cell]  2 Ga 2.66
S 0.5000 0.5000 0.5000 [1 per cell]  12 Sn 3.76

Results
As for the size of the total moment: 0.0 Bohr magnetons per cell. As for the crystal system: cubic.

Top of the stability list: entry A, leading by 185 meV per atom.

Entry A
This record from the Alexandria database describes an optimized crystal structure of GaSnS. The functional is GGA-PBE.

Cell: 4.6595 4.6745 8.4496 Å, 89.09 89.65 60.21°
Closest atoms and distances in Å follow each position.
Space group P-1 (No. 2)
Symmetry-distinct sites (fractional):
Ga 0.1665 0.1678 0.4796 [2 per cell]  1 S 2.47, 3 Ga 2.72
Sn 0.4985 0.5089 0.2747 [2 per cell]  3 S 2.80
S 0.1651 0.1764 0.1873 [2 per cell]  1 Ga 2.47

Results
As for the size of the total moment: 0.0 Bohr magnetons per cell. As for the crystal system: triclinic.

Entry B
This record from the Alexandria database describes an optimized crystal structure of GaSnS. The functional is GGA-PBE.

Cell: 3.4953 3.4953 6.4545 Å, 90.00 90.00 120.00°
Closest atoms and distances in Å follow each position.
Space group P3m1 (No. 156)
Symmetry-distinct sites (fractional):
Ga 0.0000 0.0000 0.0000 [1 per cell]  3 S 2.39
Sn 0.3333 0.6667 0.6163 [1 per cell]  3 Ga 3.19, 3 S 3.37, 6 Sn 3.50
S 0.6667 0.3333 0.1985 [1 per cell]  3 Ga 2.39

Results
As for the size of the total moment: 0.0 Bohr magnetons per cell. As for the crystal system: trigonal.

Top of the stability list: entry B, leading by 64 meV per atom.